This record from the Alexandria database describes a relaxed structure of SrSb3Ir3. The functional is PBE.

For the spin magnetization, the calculation gives 0.00 μB per formula unit. As for the calculated total energy: -5.908 eV/atom. As for the calculated volume: 383 Å³/cell.

a b c (Å): 7.2612 7.2612 7.2612
angles (deg): 90.00 90.00 90.00
Element x y z (fractional)
1 Sr 0.0000 0.0000 0.0000
2 Sr 0.5000 0.5000 0.5000
3 Sb 0.0000 0.2500 0.5000
4 Sb 0.0000 0.7500 0.5000
5 Sb 0.2500 0.5000 0.0000
6 Sb 0.5000 0.0000 0.2500
7 Sb 0.5000 0.0000 0.7500
8 Sb 0.7500 0.5000 0.0000
9 Ir 0.0000 0.5000 0.2500
10 Ir 0.0000 0.5000 0.7500
11 Ir 0.2500 0.0000 0.5000
12 Ir 0.5000 0.2500 0.0000
13 Ir 0.5000 0.7500 0.0000
14 Ir 0.7500 0.0000 0.5000

***

This record from the Alexandria database describes a relaxed structure of Sm8P3S4N. The functional is PBE.

For the spin magnetization, the calculation gives 0.00 μB per formula unit. As for the calculated total energy: -6.725 eV/atom. As for the calculated volume: 364 Å³/cell.

a b c (Å): 8.0452 8.0452 8.0452
angles (deg): 59.47 59.47 59.47
Element x y z (fractional)
1 Sm 0.2478 0.2478 0.2478
2 Sm 0.2615 0.7340 0.7340
3 Sm 0.2660 0.2660 0.7385
4 Sm 0.2660 0.7385 0.2660
5 Sm 0.7340 0.2615 0.7340
6 Sm 0.7340 0.7340 0.2615
7 Sm 0.7385 0.2660 0.2660
8 Sm 0.7522 0.7522 0.7522
9 P 0.0000 0.0000 0.5000
10 P 0.0000 0.5000 0.0000
11 P 0.5000 0.0000 0.0000
12 S 0.0000 0.0000 0.0000
13 S 0.0000 0.5000 0.5000
14 S 0.5000 0.0000 0.5000
15 S 0.5000 0.5000 0.0000
16 N 0.5000 0.5000 0.5000

***

This record from the Alexandria database describes a relaxed structure of ZnFeTcRh. The functional is PBE.

For the spin magnetization, the calculation gives 2.15 μB per formula unit. As for the calculated total energy: -6.869 eV/atom. As for the calculated volume: 54 Å³/cell. Its formation energy is 0.0 eV per formula unit.

a b c (Å): 4.2448 4.2448 4.2448
angles (deg): 60.00 60.00 60.00
Element x y z (fractional)
1 Zn 0.0000 0.0000 0.0000
2 Fe 0.5000 0.5000 0.5000
3 Tc 0.2500 0.2500 0.2500
4 Rh 0.7500 0.7500 0.7500

***

This record from the Alexandria database describes a relaxed structure of Fe2Co5Ni4. The functional is PBE.

For the spin magnetization, the calculation gives 16.68 μB per formula unit. As for the calculated total energy: -6.719 eV/atom. As for the calculated volume: 127 Å³/cell. Its formation energy is 1.7 eV per formula unit.

a b c (Å): 7.4554 2.4667 7.8569
angles (deg): 90.00 118.27 90.00
Element x y z (fractional)
1 Fe 0.1445 0.0000 0.1874
2 Fe 0.8555 0.0000 0.8126
3 Co 0.0853 0.0000 0.6735
4 Co 0.4527 0.0000 0.8132
5 Co 0.5000 0.0000 0.5000
6 Co 0.5473 0.0000 0.1868
7 Co 0.9147 0.0000 0.3265
8 Ni 0.2296 0.5000 0.5021
9 Ni 0.2391 0.5000 0.9692
10 Ni 0.7609 0.5000 0.0308
11 Ni 0.7704 0.5000 0.4979

***

This record from the Alexandria database describes a relaxed structure of BaTl3V. The functional is PBE.

For the spin magnetization, the calculation gives 4.62 μB per formula unit. As for the calculated total energy: -2.307 eV/atom. As for the calculated volume: 253 Å³/cell. The energy above the most stable polymorph in this dataset is 1304 meV/atom. Its formation energy is 6.6 eV per formula unit.

a b c (Å): 6.3208 6.3208 6.3208
angles (deg): 90.00 90.00 90.00
Element x y z (fractional)
1 Ba 0.0000 0.0000 0.0000
2 Tl 0.0000 0.0000 0.5000
3 Tl 0.0000 0.5000 0.0000
4 Tl 0.5000 0.0000 0.0000
5 V 0.5000 0.5000 0.5000

***

This record from the Alexandria database describes a relaxed structure of Tb2Pr3Nd4. The functional is PBE.

For the spin magnetization, the calculation gives 0.01 μB per formula unit. As for the calculated total energy: -4.673 eV/atom. As for the calculated volume: 317 Å³/cell. The energy above the most stable polymorph in this dataset is 53 meV/atom. Its formation energy is 0.6 eV per formula unit.

a b c (Å): 3.6595 3.6595 27.3734
angles (deg): 90.00 90.00 120.00
Element x y z (fractional)
1 Tb 0.0000 0.0000 0.0000
2 Tb 0.0000 0.0000 0.2151
3 Pr 0.0000 0.0000 0.7819
4 Pr 0.3333 0.6667 0.1108
5 Pr 0.3333 0.6667 0.4470
6 Nd 0.0000 0.0000 0.3393
7 Nd 0.0000 0.0000 0.5610
8 Nd 0.3333 0.6667 0.6701
9 Nd 0.3333 0.6667 0.8949

***

This record from the Alexandria database describes a relaxed structure of Pr4YTl2. The functional is PBE.

For the spin magnetization, the calculation gives 0.00 μB per formula unit. As for the calculated total energy: -4.318 eV/atom. As for the calculated volume: 252 Å³/cell. The energy above the most stable polymorph in this dataset is 97 meV/atom. Its formation energy is 0.1 eV per formula unit.

a b c (Å): 9.6360 9.6360 9.6360
angles (deg): 34.16 34.16 34.16
Element x y z (fractional)
1 Pr 0.1301 0.1301 0.1301
2 Pr 0.2683 0.2683 0.2683
3 Pr 0.7317 0.7317 0.7317
4 Pr 0.8699 0.8699 0.8699
5 Y 0.5000 0.5000 0.5000
6 Tl 0.3867 0.3867 0.3867
7 Tl 0.6133 0.6133 0.6133

***

This record from the Alexandria database describes a relaxed structure of CaLuAgRu. The functional is PBE.

For the spin magnetization, the calculation gives 0.00 μB per formula unit. As for the calculated total energy: -4.829 eV/atom. As for the calculated volume: 84 Å³/cell. Its formation energy is -0.7 eV per formula unit.

a b c (Å): 4.9150 4.9150 4.9150
angles (deg): 60.00 60.00 60.00
Element x y z (fractional)
1 Ca 0.0000 0.0000 0.0000
2 Lu 0.5000 0.5000 0.5000
3 Ag 0.2500 0.2500 0.2500
4 Ru 0.7500 0.7500 0.7500

***

This record from the Alexandria database describes a relaxed structure of NaSrPd4. The functional is PBE.

For the spin magnetization, the calculation gives 0.00 μB per formula unit. As for the calculated total energy: -4.409 eV/atom. As for the calculated volume: 118 Å³/cell. Its formation energy is -2.7 eV per formula unit.

a b c (Å): 5.5027 5.5027 5.5027
angles (deg): 60.00 60.00 60.00
Element x y z (fractional)
1 Na 0.0000 0.0000 0.0000
2 Sr 0.7500 0.7500 0.7500
3 Pd 0.3748 0.3748 0.3748
4 Pd 0.3748 0.3748 0.8757
5 Pd 0.3748 0.8757 0.3748
6 Pd 0.8757 0.3748 0.3748

***

This record from the Alexandria database describes a relaxed structure of TaFeMo2. The functional is PBE.

For the spin magnetization, the calculation gives 1.39 μB per formula unit. As for the calculated total energy: -10.154 eV/atom. As for the calculated volume: 63 Å³/cell. The energy above the most stable polymorph in this dataset is 370 meV/atom. Its formation energy is 1.4 eV per formula unit.

a b c (Å): 9.2594 9.2594 9.2594
angles (deg): 17.49 17.49 17.49
Element x y z (fractional)
1 Ta 0.0000 0.0000 0.0000
2 Fe 0.2530 0.2530 0.2530
3 Mo 0.5130 0.5130 0.5130
4 Mo 0.7585 0.7585 0.7585

***

This record from the Alexandria database describes a relaxed structure of ThAl5. The functional is PBE.

For the spin magnetization, the calculation gives 0.00 μB per formula unit. As for the calculated total energy: -4.533 eV/atom. As for the calculated volume: 123 Å³/cell. Its formation energy is -1.1 eV per formula unit.

a b c (Å): 5.8362 5.8362 5.8362
angles (deg): 136.09 111.60 84.92
Element x y z (fractional)
1 Th 0.0000 0.0000 0.0000
2 Al 0.1303 0.3393 0.7910
3 Al 0.4517 0.6607 0.7910
4 Al 0.5000 0.0000 0.5000
5 Al 0.5483 0.3393 0.2090
6 Al 0.8697 0.6607 0.2090

***

This record from the Alexandria database describes a relaxed structure of ErNpTe3. The functional is PBE.

For the spin magnetization, the calculation gives 3.99 μB per formula unit. As for the calculated total energy: -6.387 eV/atom. As for the calculated volume: 608 Å³/cell.

a b c (Å): 8.2365 4.3486 16.9635
angles (deg): 90.00 90.00 90.00
Element x y z (fractional)
1 Er 0.2321 0.2500 0.0419
2 Er 0.2679 0.7500 0.5419
3 Er 0.7321 0.2500 0.4581
4 Er 0.7679 0.7500 0.9581
5 Np 0.1356 0.7500 0.2948
6 Np 0.3644 0.2500 0.7948
7 Np 0.6356 0.7500 0.2052
8 Np 0.8644 0.2500 0.7052
9 Te 0.0040 0.7500 0.1074
10 Te 0.1195 0.2500 0.4345
11 Te 0.1501 0.7500 0.7185
12 Te 0.3499 0.2500 0.2185
13 Te 0.3805 0.7500 0.9345
14 Te 0.4960 0.2500 0.6074
15 Te 0.5040 0.7500 0.3926
16 Te 0.6195 0.2500 0.0655
17 Te 0.6501 0.7500 0.7815
18 Te 0.8499 0.2500 0.2815
19 Te 0.8805 0.7500 0.5655
20 Te 0.9960 0.2500 0.8926